Dy5YHo2 GGA-PBE relaxed; energy of formation = 0.01 eV/atom; space-group type = P-1, No. 2
1.0
6.6995 0.0000 0.0000
2.7827 8.7346 0.0000
2.7849 -0.2545 8.7304
Dy Y Ho
10 2 4
Direct
0.1234 0.1465 0.4790 Dy
0.1252 0.4790 0.6461 Dy
0.1262 0.6461 0.9781 Dy
0.3741 0.2716 0.1044 Dy
0.3739 0.6040 0.2714 Dy
0.6261 0.3960 0.7286 Dy
0.6259 0.7284 0.8956 Dy
0.8738 0.3539 0.0219 Dy
0.8748 0.5210 0.3539 Dy
0.8766 0.8535 0.5210 Dy
0.3757 0.1033 0.7709 Y
0.6243 0.8967 0.2291 Y
0.1244 0.9792 0.1460 Ho
0.3754 0.7706 0.6038 Ho
0.6246 0.2294 0.3962 Ho
0.8756 0.0208 0.8540 Ho

---

MnTl4Ni GGA-PBE relaxed; energy of formation = 0.88 eV/atom; space-group type = F-43m, No. 216
1.0
0.0000 4.3685 4.3685
4.3685 0.0000 4.3685
4.3685 4.3685 0.0000
Mn Tl Ni
1 4 1
Direct
0.0000 0.0000 0.0000 Mn
0.3753 0.3753 0.3753 Tl
0.3753 0.3753 0.8741 Tl
0.3753 0.8741 0.3753 Tl
0.8741 0.3753 0.3753 Tl
0.7500 0.7500 0.7500 Ni

---

MnTcPd2 GGA-PBE relaxed; energy of formation = 1.46 eV/atom; space-group type = I-42d, No. 122
1.0
-2.6900 2.6900 5.6221
2.6900 -2.6900 5.6221
2.6900 2.6900 -5.6221
Mn Tc Pd
2 2 4
Direct
0.0000 0.0000 0.0000 Mn
0.7500 0.2500 0.5000 Mn
0.2500 0.7500 0.5000 Tc
0.5000 0.5000 0.0000 Tc
0.1049 0.6250 0.9799 Pd
0.3750 0.3549 0.4799 Pd
0.6451 0.1250 0.0201 Pd
0.8750 0.8951 0.5201 Pd

---

Rb2GaRuBr6 GGA-PBE relaxed; space-group type = I4/mmm, No. 139; uncorrected formation energy = -0.90 eV per atom
1.0
-3.8611 3.8611 5.4552
3.8611 -3.8611 5.4552
3.8611 3.8611 -5.4552
Rb Ga Ru Br
2 1 1 6
Direct
0.2500 0.7500 0.5000 Rb
0.7500 0.2500 0.5000 Rb
0.0000 0.0000 0.0000 Ga
0.5000 0.5000 0.0000 Ru
0.2667 0.2667 0.0000 Br
0.2670 0.2670 0.5340 Br
0.2670 0.7330 0.0000 Br
0.7330 0.2670 0.0000 Br
0.7333 0.7333 0.0000 Br
0.7330 0.7330 0.4660 Br

---

La6CeNdSm2 GGA-PBE relaxed; energy of formation = 0.22 eV/atom; space-group type = C2/m, No. 12
1.0
6.1496 -3.4434 0.0000
6.1496 3.4434 0.0000
-3.0534 0.0000 8.5213
La Ce Nd Sm
6 1 1 2
Direct
0.0912 0.6064 0.6932 La
0.1564 0.1564 0.9103 La
0.3936 0.9088 0.3068 La
0.6064 0.0912 0.6932 La
0.8436 0.8436 0.0897 La
0.9088 0.3936 0.3068 La
0.0000 0.0000 0.5000 Ce
0.5000 0.5000 0.0000 Nd
0.3974 0.3974 0.3216 Sm
0.6026 0.6026 0.6784 Sm

---

Hf3ScAs GGA-PBE relaxed; energy of formation = 1.28 eV/atom; space-group type = Pm-3m, No. 221
1.0
4.9864 0.0000 0.0000
0.0000 4.9864 0.0000
0.0000 0.0000 4.9864
Hf Sc As
3 1 1
Direct
0.0000 0.0000 0.5000 Hf
0.0000 0.5000 0.0000 Hf
0.5000 0.0000 0.0000 Hf
0.0000 0.0000 0.0000 Sc
0.5000 0.5000 0.5000 As

---

TmZr3Rh6 GGA-PBE relaxed; energy of formation = -0.77 eV/atom; space-group type = P2_1/m, No. 11
1.0
7.9518 0.0000 0.0000
0.0000 4.6616 0.0000
-3.0868 0.0000 9.4040
Tm Zr Rh
2 6 12
Direct
0.0621 0.2500 0.3960 Tm
0.9379 0.7500 0.6040 Tm
0.1999 0.2500 0.0132 Zr
0.3664 0.7500 0.8077 Zr
0.4805 0.2500 0.6169 Zr
0.5195 0.7500 0.3831 Zr
0.6336 0.2500 0.1923 Zr
0.8001 0.7500 0.9868 Zr
0.0860 0.7500 0.8891 Rh
0.1451 0.7500 0.1922 Rh
0.1669 0.2500 0.7101 Rh
0.2593 0.7500 0.5113 Rh
0.3618 0.2500 0.3094 Rh
0.4490 0.7500 0.0928 Rh
0.5510 0.2500 0.9072 Rh
0.6382 0.7500 0.6906 Rh
0.7407 0.2500 0.4887 Rh
0.8331 0.7500 0.2899 Rh
0.8549 0.2500 0.8078 Rh
0.9140 0.2500 0.1109 Rh

---

CePaPt3 GGA-PBE relaxed; energy of formation = -1.02 eV/atom; space-group type = Pmmn, No. 59
1.0
4.3194 0.0000 0.0000
0.0000 5.6945 0.0000
0.0000 0.0000 8.9440
Ce Pa Pt
2 2 6
Direct
0.2500 0.2500 0.0578 Ce
0.7500 0.7500 0.9422 Ce
0.2500 0.7500 0.3943 Pa
0.7500 0.2500 0.6057 Pa
0.2500 0.2500 0.3915 Pt
0.2500 0.5029 0.7705 Pt
0.2500 0.9971 0.7705 Pt
0.7500 0.0029 0.2295 Pt
0.7500 0.4971 0.2295 Pt
0.7500 0.7500 0.6085 Pt

---

Which V belongs to each record? In order, 510.88; 166.74; 162.73; 325.31; 360.89; 123.98; 348.59; 220.00 Å³ per cell.